First-principles (PBE) data for a relaxed Pa2Mn5AlSi2 crystal, as listed in Alexandria via LeMat-Bulk.

Calculated values
- total energy (eV per formula unit) = -81.8
- magnetic moment (μB/cell) = 11.50
- uncorrected formation energy (kJ/mol of formula units) = -224

a b c (Å): 3.355 9.542 9.542
angles (deg): 90.00 90.00 90.00
Site moments in Bohr magnetons follow the coordinates.
Fractional positions:
Al 0.000 0.500 0.500  -0.04
Al 0.000 0.000 0.000  -0.04
Mn 0.500 0.000 0.500  0.72
Mn 0.500 0.288 0.570  1.70
Mn 0.500 0.788 0.930  1.70
Mn 0.500 0.430 0.288  1.70
Mn 0.500 0.930 0.212  1.70
Mn 0.500 0.712 0.430  1.70
Mn 0.500 0.500 0.000  0.72
Mn 0.500 0.070 0.788  1.70
Mn 0.500 0.570 0.712  1.70
Mn 0.500 0.212 0.070  1.70
Si 0.000 0.378 0.122  -0.07
Si 0.000 0.878 0.378  -0.07
Si 0.000 0.122 0.622  -0.07
Si 0.000 0.622 0.878  -0.07
Pa 0.000 0.326 0.826  -0.66
Pa 0.000 0.174 0.326  -0.66
Pa 0.000 0.826 0.674  -0.66
Pa 0.000 0.674 0.174  -0.66